Record 1
Density functional theory data (PBE) for crystalline LaTmPtI at its relaxed geometry.

Computed properties:
- Formation energy without anion corrections: -1149 meV/atom
- Density: 8.49 g cm⁻³
- Magnetic moment: 0.000 μB/atom
- Symmetry: No. 160

a b c (Å): 4.1973 4.1970 8.4259
angles (deg): 90.00 104.42 120.00
Closest atoms and distances in Å follow each position.
Atoms (fractional coordinates):
La 0.5108 0.1533 0.6792  3 Pt 2.93
Tm 0.0925 0.9442 0.0521  3 Pt 2.78
Pt 0.3131 0.5545 0.8829  3 Tm 2.78, 3 La 2.93
I 0.9615 0.3788 0.3554  3 Tm 3.44-3.45, 3 La 3.56


Record 2
Density functional theory data (PBE) for crystalline La6ZnPt2I3 at its relaxed geometry.

Computed properties:
- Formation energy without anion corrections: -991 meV/atom
- Density: 6.90 g cm⁻³
- Magnetic moment: 0.000 μB/atom
- Symmetry: No. 12

a b c (Å): 7.5551 7.5551 8.4897
angles (deg): 98.57 98.57 119.78
Closest atoms and distances in Å follow each position.
Atoms (fractional coordinates):
La 0.9324 0.5838 0.8000  2 Pt 2.94-2.95, 1 Zn 3.10
La 0.7163 0.7163 0.1957  2 Pt 2.94, 1 Zn 3.08
La 0.0676 0.4162 0.2000  2 Pt 2.94-2.95, 1 Zn 3.10
La 0.5838 0.9324 0.8000  2 Pt 2.94-2.95, 1 Zn 3.10
La 0.2837 0.2837 0.8043  2 Pt 2.94, 1 Zn 3.08
La 0.4162 0.0676 0.2000  2 Pt 2.94-2.95, 1 Zn 3.10
Zn 0.0000 0.0000 0.0000  6 La 3.08-3.10
Pt 0.3321 0.6679 0.0000  6 La 2.94-2.95
Pt 0.6679 0.3321 0.0000  6 La 2.94-2.95
I 0.1609 0.8391 0.5000  6 La 3.46-3.56
I 0.8391 0.1609 0.5000  6 La 3.46-3.56
I 0.5000 0.5000 0.5000  6 La 3.45-3.54


Record 3
Density functional theory data (PBE) for crystalline LaPuI2 at its relaxed geometry.

Computed properties:
- Formation energy without anion corrections: -650 meV/atom
- Density: 7.05 g cm⁻³
- Magnetic moment: 1.708 μB/atom
- Symmetry: No. 166

a b c (Å): 3.9401 3.9401 11.3885
angles (deg): 80.04 80.04 60.00
Closest atoms and distances in Å follow each position.
Atoms (fractional coordinates):
I 0.0963 0.0963 0.7110  1 Pu 3.23, 3 La 3.27
I 0.9037 0.9037 0.2890  1 Pu 3.23, 3 La 3.27
La 0.5000 0.5000 0.5000  6 I 3.27
Pu 0.0000 0.0000 0.0000  2 I 3.23